1.
Density functional theory data (PBE) for Mn2ZnSb after structural relaxation.

Cell lengths 2.986, 2.986, 7.903 Å; angles 90.00, 90.00, 90.00 degrees
Atoms (fractional coordinates):
Mn 0.000 0.000 0.000
Mn 0.500 0.500 0.168
Zn 0.500 0.500 0.808
Sb 0.000 0.000 0.418

Computed properties:
V in Å³ per cell: 70
E_form (uncorrected) in kJ per mole of atoms: 19.4
Energy above the lowest structure with this stoichiometry in meV per atom: 63.0
Magnetic moment in μB/f.u.: 0.8
SG: P4mm (99)

2.
Density functional theory data (PBE) for Dy2Ho5ErSc after structural relaxation.

Cell lengths 10.273, 10.273, 10.297 Å; angles 90.00, 90.00, 149.00 degrees
Atoms (fractional coordinates):
Dy 0.111 0.889 0.500
Dy 0.114 0.886 0.924
Dy 0.886 0.114 0.424
Dy 0.889 0.111 0.000
Ho 0.017 0.983 0.204
Ho 0.275 0.725 0.507
Ho 0.300 0.700 0.892
Ho 0.377 0.623 0.208
Ho 0.482 0.518 0.928
Ho 0.518 0.482 0.428
Ho 0.623 0.377 0.708
Ho 0.700 0.300 0.392
Ho 0.725 0.275 0.007
Ho 0.983 0.017 0.704
Er 0.409 0.591 0.644
Er 0.591 0.409 0.144
Sc 0.195 0.805 0.202
Sc 0.805 0.195 0.702

Computed properties:
V in Å³ per cell: 560
Magnetic moment in μB/f.u.: 0.0
ΔH_f (0 K) in eV/atom: 0.1648
SG: Cmc2_1 (36)

3.
Density functional theory data (PBE) for ReW2Au after structural relaxation.

Cell lengths 4.873, 4.873, 2.865 Å; angles 90.15, 90.15, 109.61 degrees
Atoms (fractional coordinates):
Re 0.000 0.000 0.000
W 0.000 0.500 0.500
W 0.500 0.000 0.500
Au 0.500 0.500 0.000

Computed properties:
V in Å³ per cell: 64
Energy above the lowest structure with this stoichiometry in meV per atom: 25.6
Magnetic moment in μB/f.u.: 0.0
ΔH_f (0 K) in eV/atom: 0.2951
SG: C2/m (12)

4.
Density functional theory data (PBE) for Pu3Al7Ga4 after structural relaxation.

Cell lengths 8.218, 8.218, 9.898 Å; angles 125.77, 125.77, 30.16 degrees
Atoms (fractional coordinates):
Pu 0.000 0.000 0.000
Pu 0.313 0.313 0.308
Pu 0.687 0.687 0.692
Al 0.000 0.000 0.500
Al 0.152 0.152 0.425
Al 0.334 0.334 0.974
Al 0.494 0.494 0.698
Al 0.506 0.506 0.302
Al 0.666 0.666 0.026
Al 0.848 0.848 0.575
Ga 0.131 0.131 0.853
Ga 0.343 0.343 0.726
Ga 0.657 0.657 0.274
Ga 0.869 0.869 0.147

Computed properties:
V in Å³ per cell: 267
Magnetic moment in μB/f.u.: 17.0
ΔH_f (0 K) in eV/atom: -0.3034
SG: C2/m (12)

5.
Density functional theory data (PBE) for Re3RuO after structural relaxation.

Cell lengths 4.654, 4.654, 4.654 Å; angles 90.00, 90.00, 90.00 degrees
Atoms (fractional coordinates):
Re 0.000 0.000 0.500
Re 0.000 0.500 0.000
Re 0.500 0.000 0.000
Ru 0.000 0.000 0.000
O 0.500 0.500 0.500

Computed properties:
V in Å³ per cell: 101
E_form (uncorrected) in kJ per mole of atoms: 276.3
Energy above the lowest structure with this stoichiometry in meV per atom: 2453.1
Magnetic moment in μB/f.u.: 0.0
SG: Pm-3m (221)

6.
Density functional theory data (PBE) for K2Rb3BaCl6 after structural relaxation.

Cell lengths 10.510, 10.510, 9.658 Å; angles 103.68, 103.68, 25.07 degrees
Atoms (fractional coordinates):
K 0.169 0.169 0.340
K 0.831 0.831 0.660
Rb 0.169 0.169 0.827
Rb 0.500 0.500 0.500
Rb 0.831 0.831 0.173
Ba 0.500 0.500 0.000
Cl 0.003 0.003 0.245
Cl 0.330 0.330 0.425
Cl 0.342 0.342 0.913
Cl 0.658 0.658 0.087
Cl 0.670 0.670 0.575
Cl 0.997 0.997 0.755

Computed properties:
V in Å³ per cell: 439
E_form (uncorrected) in kJ per mole of atoms: -181.5
Magnetic moment in μB/f.u.: 0.4
SG: C2/m (12)

7.
Density functional theory data (PBE) for Tl2CdCuI6 after structural relaxation.

Cell lengths 7.852, 8.741, 8.962 Å; angles 63.63, 66.27, 64.55 degrees
Atoms (fractional coordinates):
Tl 0.000 0.000 0.000
Tl 0.467 0.539 0.487
Cd 0.909 0.638 0.871
Cu 0.438 0.398 0.089
I 0.074 0.896 0.594
I 0.160 0.568 0.289
I 0.231 0.329 0.964
I 0.637 0.828 0.096
I 0.656 0.195 0.300
I 0.710 0.475 0.801

Computed properties:
V in Å³ per cell: 480
E_form (uncorrected) in kJ per mole of atoms: -41.8
Magnetic moment in μB/f.u.: 1.0
SG: P1 (1)

8.
Density functional theory data (PBE) for KHfIn after structural relaxation.

Cell lengths 5.539, 5.539, 7.665 Å; angles 90.00, 90.00, 90.00 degrees
Atoms (fractional coordinates):
K 0.250 0.250 0.135
K 0.750 0.750 0.865
Hf 0.250 0.250 0.596
Hf 0.750 0.750 0.404
In 0.250 0.750 0.500
In 0.750 0.250 0.500

Computed properties:
V in Å³ per cell: 235
Energy above the lowest structure with this stoichiometry in meV per atom: 582.2
Magnetic moment in μB/f.u.: 0.9
ΔH_f (0 K) in eV/atom: 0.5919
SG: P4/nmm (129)